The following is a DFT calculation (PBE with a Hubbard U) of crystalline CaCr2GaO6 at its relaxed geometry.

a b c (Å): 5.2019 5.1851 5.5488
angles (deg): 61.08 61.83 60.78
Site moments in Bohr magnetons follow the coordinates.
Fractional coordinates of all 10 atoms:
O 0.9134 0.6236 0.2252  -0.06
O 0.7390 0.1718 0.7489  -0.09
O 0.1734 0.3394 0.7505  -0.07
O 0.2477 0.9114 0.2229  -0.04
O 0.6198 0.2480 0.2226  -0.03
O 0.3466 0.7272 0.7498  -0.02
Ga 0.3108 0.3158 0.0683  0.03
Cr 0.5128 0.5206 0.4450  2.94
Cr 0.0058 0.0140 0.9564  2.25
Ca 0.7924 0.7897 0.6257  0.00

Computed properties:
As for the volume: 109 Å³ per cell. The density is 4.73 g/cm³. Its space-group type is No. 1. The raw total energy comes out at -6.971 eV per atom. The total magnetic moment comes out at 5.00 Bohr magnetons per cell.